VASP calculation (PBE-GGA) on a relaxed structure of LaIr3I.

abc: 5.0726 5.0726 5.0726
angles: 90.00 90.00 90.00
Last column: magnetic moment on the atom in μB.
Atoms (fractional coordinates):
I1 0.5000 0.5000 0.5000  0.08
Ir1 0.0000 0.5000 0.0000  0.43
Ir2 0.0000 0.0000 0.5000  0.39
Ir3 0.5000 0.0000 0.0000  0.37
La1 0.0000 0.0000 0.0000  -0.01

Results
Total magnetic moment, μB per formula unit: 1.29
Fermi-level density of states, states/eV/cell: 9.63
Energy above the lowest structure with this stoichiometry, meV/atom: 1049
E, eV for the cell shown: -23.2